## a
Density functional theory data (PBE) for a geometry-optimized Li6AgPt structure.

a b c (Å): 4.5481 5.6047 5.6047
angles (deg): 119.93 90.00 90.00
Last column: nearest neighbours and their distance in Å.
Positions (direct):
Ag: 0.5000 0.4162 0.5838  12 Li 2.77-2.81
Li: 0.0000 0.5802 0.4198  8 Li 2.75-2.86, 2 Ag 2.78, 2 Pt 2.81
Li: 0.0000 0.0900 0.4195  8 Li 2.75-2.86, 2 Ag 2.77, 2 Pt 2.80
Li: 0.5000 0.9283 0.0717  6 Li 2.60-2.83, 2 Pt 2.73, 2 Ag 2.81
Li: 0.5000 0.9283 0.6074  6 Li 2.60-2.84, 2 Pt 2.72, 2 Ag 2.80-2.81
Li: 0.0000 0.5805 0.9100  8 Li 2.75-2.86, 2 Ag 2.77, 2 Pt 2.80
Li: 0.5000 0.3926 0.0717  6 Li 2.60-2.84, 2 Pt 2.72, 2 Ag 2.80-2.81
Pt: 0.0000 0.0836 0.9164  12 Li 2.72-2.81

Values from the calculation:
* space-group type: Amm2

## b
Density functional theory data (PBE) for a geometry-optimized Li6AgPt structure.

a b c (Å): 4.5206 4.7514 5.7239
angles (deg): 90.00 90.00 90.00
Last column: nearest neighbours and their distance in Å.
Positions (direct):
Li: 0.5000 0.3295 0.0000  8 Li 2.79-2.86, 2 Ag 2.86, 2 Pt 2.86
Li: 0.5000 0.8200 0.7334  7 Li 2.67-2.86, 2 Pt 2.70-2.75, 2 Ag 2.79
Li: 0.0000 0.1860 0.7372  6 Li 2.58-2.85, 2 Pt 2.71, 2 Ag 2.77-2.86
Li: 0.0000 0.6470 0.5000  6 Li 2.58-2.75, 2 Pt 2.76, 2 Ag 2.87
Li: 0.0000 0.1860 0.2628  6 Li 2.58-2.85, 2 Pt 2.71, 2 Ag 2.77-2.86
Li: 0.5000 0.8200 0.2666  7 Li 2.67-2.86, 2 Pt 2.70-2.75, 2 Ag 2.79
Pt: 0.5000 0.3148 0.5000  12 Li 2.70-2.86
Ag: 0.0000 0.6967 0.0000  12 Li 2.77-2.87

Values from the calculation:
* space-group type: Pmm2

It turns out b is the most stable, with the second structure 13 meV/atom higher.

## a
Density functional theory data (PBE) for a geometry-optimized Li2AgPt2 structure.

a b c (Å): 4.5396 4.5396 5.1736
angles (deg): 63.98 63.98 90.00
Last column: nearest neighbours and their distance in Å.
Positions (direct):
Pt: 0.3449 0.3449 0.3102  4 Li 2.40, 1 Pt 2.52
Pt: 0.6551 0.6551 0.6898  4 Li 2.40, 1 Pt 2.52
Li: 0.7500 0.2500 0.5000  4 Pt 2.40
Li: 0.2500 0.7500 0.5000  4 Pt 2.40
Ag: 0.0000 0.0000 0.0000  2 Pt 2.80, 8 Li 3.04

Values from the calculation:
* space-group type: I4/mmm

## b
Density functional theory data (PBE) for a geometry-optimized Li2AgPt2 structure.

a b c (Å): 7.2570 7.2570 2.7604
angles (deg): 90.00 90.00 90.00
Last column: nearest neighbours and their distance in Å.
Positions (direct):
Li: 0.6217 0.1217 0.0000  6 Pt 2.50-2.59, 3 Li 2.50-2.76
Li: 0.1217 0.3783 0.0000  6 Pt 2.50-2.59, 3 Li 2.50-2.76
Li: 0.3783 0.8783 0.0000  6 Pt 2.50-2.59, 3 Li 2.50-2.76
Li: 0.8783 0.6217 0.0000  6 Pt 2.50-2.59, 3 Li 2.50-2.76
Pt: 0.1754 0.6754 0.5000  6 Li 2.50-2.59, 2 Pt 2.76
Pt: 0.6754 0.8246 0.5000  6 Li 2.50-2.59, 2 Pt 2.76
Pt: 0.8246 0.3246 0.5000  6 Li 2.50-2.59, 2 Pt 2.76
Pt: 0.3246 0.1754 0.5000  6 Li 2.50-2.59, 2 Pt 2.76
Ag: 0.0000 0.0000 0.0000  2 Ag 2.76, 4 Li 2.88, 8 Pt 3.01
Ag: 0.5000 0.5000 0.0000  2 Ag 2.76, 4 Li 2.88, 8 Pt 3.01

Values from the calculation:
* space-group type: P4/mbm

It turns out b is the most stable, with the second structure 324 meV/atom higher.

## a
Density functional theory data (PBE) for a geometry-optimized Li2Ag2Pt structure.

a b c (Å): 7.0048 7.0048 3.0207
angles (deg): 90.00 90.00 90.00
Last column: nearest neighbours and their distance in Å.
Positions (direct):
Li: 0.3574 0.8574 0.0000  6 Ag 2.47-2.60, 2 Pt 2.70
Li: 0.8574 0.6427 0.0000  6 Ag 2.47-2.60, 2 Pt 2.70
Li: 0.6427 0.1426 0.0000  6 Ag 2.47-2.60, 2 Pt 2.70
Li: 0.1426 0.3574 0.0000  6 Ag 2.47-2.60, 2 Pt 2.70
Pt: 0.0000 0.0000 0.0000  4 Li 2.70
Pt: 0.5000 0.5000 0.0000  4 Li 2.70
Ag: 0.3405 0.1595 0.5000  6 Li 2.47-2.60
Ag: 0.1595 0.6595 0.5000  6 Li 2.47-2.60
Ag: 0.8405 0.3405 0.5000  6 Li 2.47-2.60
Ag: 0.6595 0.8405 0.5000  6 Li 2.47-2.60

Values from the calculation:
* space-group type: P4/mbm

## b
Density functional theory data (PBE) for a geometry-optimized Li2Ag2Pt structure.

a b c (Å): 7.2643 7.2643 2.9634
angles (deg): 90.00 90.00 90.00
Last column: nearest neighbours and their distance in Å.
Positions (direct):
Pt: 0.0000 0.0000 0.0000  4 Ag 2.83, 2 Pt 2.96, 8 Li 3.08
Pt: 0.5000 0.5000 0.0000  4 Ag 2.83, 2 Pt 2.96, 8 Li 3.08
Li: 0.1690 0.6690 0.5000  6 Ag 2.50-2.67
Li: 0.6690 0.8310 0.5000  6 Ag 2.50-2.67
Li: 0.8310 0.3310 0.5000  6 Ag 2.50-2.67
Li: 0.3310 0.1690 0.5000  6 Ag 2.50-2.67
Ag: 0.6345 0.1345 0.0000  6 Li 2.50-2.67, 1 Ag 2.76
Ag: 0.8655 0.6345 0.0000  6 Li 2.50-2.67, 1 Ag 2.76
Ag: 0.3655 0.8655 0.0000  6 Li 2.50-2.67, 1 Ag 2.76
Ag: 0.1345 0.3655 0.0000  6 Li 2.50-2.67, 1 Ag 2.76

Values from the calculation:
* space-group type: P4/mbm

It turns out a is the most stable, with the second structure 19 meV/atom higher.